Below is crystalline RbCr3Si at its relaxed geometry, with properties calculated at the GGA-PBE level.

Its uncorrected formation energy is 2.66 eV/atom. The density of states at the Fermi level comes out at 1.50 states/eV/f.u. The calculation puts the energy relative to the lowest polymorph listed for this composition at 1632.0 meV per atom.

The space group is Pm-3m (No. 221) and the conventional cell measures 5.4551, 5.4551 and 5.4551 Å, with angles of 90.00, 90.00 and 90.00 degrees. The asymmetric unit holds Rb at (0.0000, 0.0000, 0.0000), Cr at (0.0000, 0.0000, 0.5000) and Si at (0.5000, 0.5000, 0.5000).


Below is crystalline Rb3CrSi at its relaxed geometry, with properties calculated at the GGA-PBE level.

Its uncorrected formation energy is 0.92 eV/atom. The density of states at the Fermi level comes out at 2.91 states/eV/f.u. The calculation puts the energy relative to the lowest polymorph listed for this composition at 0.0 meV per atom.

The space group is Pm-3m (No. 221) and the conventional cell measures 6.8061, 6.8061 and 6.8061 Å, with angles of 90.00, 90.00 and 90.00 degrees. The asymmetric unit holds Rb at (0.0000, 0.0000, 0.5000), Cr at (0.5000, 0.5000, 0.5000) and Si at (0.0000, 0.0000, 0.0000).


Below is crystalline Rb2CrSi at its relaxed geometry, with properties calculated at the GGA-PBE level.

Its uncorrected formation energy is 0.55 eV/atom. The density of states at the Fermi level comes out at 2.03 states/eV/f.u.

The space group is I-42d (No. 122) and the conventional cell measures 13.3243, 13.3243 and 4.7789 Å, with angles of 90.00, 90.00 and 90.00 degrees. The asymmetric unit holds Rb at (0.0426, 0.2500, 0.1250), Cr at (0.0000, 0.0000, 0.0000) and Si at (0.0000, 0.0000, 0.5000).


Below is crystalline RbCr3Si at its relaxed geometry, with properties calculated at the GGA-PBE level.

Its uncorrected formation energy is 1.03 eV/atom. The density of states at the Fermi level comes out at 3.70 states/eV/f.u. The calculation puts the energy relative to the lowest polymorph listed for this composition at 0.0 meV per atom.

The space group is Pm-3m (No. 221) and the conventional cell measures 5.0473, 5.0473 and 5.0473 Å, with angles of 90.00, 90.00 and 90.00 degrees. The asymmetric unit holds Rb at (0.0000, 0.0000, 0.0000), Cr at (0.0000, 0.5000, 0.5000) and Si at (0.5000, 0.5000, 0.5000).


Below is crystalline RbTaCrSi2 at its relaxed geometry, with properties calculated at the GGA-PBE level.

Its uncorrected formation energy is 0.78 eV/atom. The density of states at the Fermi level comes out at 3.64 states/eV/f.u.

The space group is P4/mmm (No. 123) and the conventional cell measures 4.6629, 4.6629 and 4.7696 Å, with angles of 90.00, 90.00 and 90.00 degrees. The asymmetric unit holds Rb at (0.0000, 0.0000, 0.0000), Ta at (0.5000, 0.5000, 0.0000), Cr at (0.5000, 0.5000, 0.5000) and Si at (0.0000, 0.5000, 0.5000).


Below is crystalline Rb2CrSiTe at its relaxed geometry, with properties calculated at the GGA-PBE level.

Its uncorrected formation energy is 0.66 eV/atom. The density of states at the Fermi level comes out at 2.84 states/eV/f.u.

The space group is P4/mmm (No. 123) and the conventional cell measures 6.9820, 6.9820 and 5.2650 Å, with angles of 90.00, 90.00 and 90.00 degrees. The asymmetric unit holds Rb at (0.0000, 0.5000, 0.0000), Cr at (0.0000, 0.0000, 0.5000), Si at (0.5000, 0.5000, 0.5000) and Te at (0.5000, 0.5000, 0.0000).


Below is crystalline Rb2CrSn at its relaxed geometry, with properties calculated at the GGA-PBE level.

As for the energy relative to the elements: 0.424 eV/atom. The density of states at the Fermi level comes out at 1.66 states/eV/f.u.

The space group is I-42d (No. 122) and the conventional cell measures 13.4962, 13.4962 and 5.2425 Å, with angles of 90.00, 90.00 and 90.00 degrees. The asymmetric unit holds Rb at (0.0557, 0.2500, 0.1250), Cr at (0.0000, 0.0000, 0.0000) and Sn at (0.0000, 0.0000, 0.5000).


Below is crystalline RbCr2Sn at its relaxed geometry, with properties calculated at the GGA-PBE level.

As for the energy relative to the elements: 0.866 eV/atom. The density of states at the Fermi level comes out at 1.78 states/eV/f.u.

The space group is I4_1/amd (No. 141, origin choice 2) and the conventional cell measures 5.8349, 5.8349 and 18.3567 Å, with angles of 90.00, 90.00 and 90.00 degrees. The asymmetric unit holds Rb at (0.0000, 0.2500, 0.3750), Cr at (0.0000, 0.0000, 0.0000) and Sn at (0.0000, 0.2500, 0.8750).


Below is crystalline Rb2SrCrSn at its relaxed geometry, with properties calculated at the GGA-PBE level.

As for the energy relative to the elements: 1.137 eV/atom. The density of states at the Fermi level comes out at 4.02 states/eV/f.u.

The space group is P4/mmm (No. 123) and the conventional cell measures 7.3834, 7.3834 and 5.8415 Å, with angles of 90.00, 90.00 and 90.00 degrees. The asymmetric unit holds Rb at (0.0000, 0.5000, 0.0000), Sr at (0.0000, 0.0000, 0.0000), Cr at (0.0000, 0.0000, 0.5000) and Sn at (0.5000, 0.5000, 0.5000).


Below is crystalline Rb2CrTcSn at its relaxed geometry, with properties calculated at the GGA-PBE level.

As for the energy relative to the elements: 1.320 eV/atom. The density of states at the Fermi level comes out at 5.36 states/eV/f.u.

The space group is P4/mmm (No. 123) and the conventional cell measures 6.9766, 6.9766 and 5.1747 Å, with angles of 90.00, 90.00 and 90.00 degrees. The asymmetric unit holds Rb at (0.0000, 0.5000, 0.0000), Cr at (0.0000, 0.0000, 0.5000), Tc at (0.5000, 0.5000, 0.5000) and Sn at (0.5000, 0.5000, 0.0000).


Below is crystalline Rb2CrSnTe4 at its relaxed geometry, with properties calculated at the GGA-PBE level.

Its uncorrected formation energy is -0.46 eV/atom. The density of states at the Fermi level comes out at 1.84 states/eV/f.u.

The space group is Imma (No. 74) and the conventional cell measures 8.9083, 9.5306 and 12.9662 Å, with angles of 90.00, 90.00 and 90.00 degrees. The asymmetric unit holds Rb at (0.0000, 0.0000, 0.0000), Rb at (0.2500, 0.2500, 0.2500), Cr at (0.2500, 0.2500, 0.7500), Sn at (0.0000, 0.0000, 0.5000), Te at (0.0000, 0.0601, 0.7386) and Te at (0.2278, 0.2500, 0.5338).


Below is crystalline RbCrSnTe3 at its relaxed geometry, with properties calculated at the GGA-PBE level.

Its uncorrected formation energy is -0.45 eV/atom. The density of states at the Fermi level comes out at 0.09 states/eV/f.u.

The space group is P2_1/m (No. 11) and the conventional cell measures 9.3546, 4.2367 and 11.3592 Å, with angles of 90.00, 110.04 and 90.00 degrees. The asymmetric unit holds Rb at (0.2073, 0.2500, 0.2468), Cr at (0.3703, 0.7500, 0.8483), Sn at (0.1338, 0.2500, 0.5547), Te at (0.1556, 0.2500, 0.8122), Te at (0.3641, 0.7500, 0.5956) and Te at (0.4240, 0.7500, 0.0993).


These records have M_tot values of 14.67, 7.00, 15.94, 13.50, 0.84, 5.39, 16.00, 35.81, 4.02, 2.24, 8.61, 6.00 μB per cell, in the order they appear.